Material: Zn6CuAg8
Method: DFT, GGA-PBE
State: optimized geometry

Unit cell a=7.6309 b=7.6309 c=6.9203 alpha=56.54 beta=56.54 gamma=60.00
Last column: nearest neighbours and their distance in Å.
Element x y z (fractional)
Zn1 0.3600 0.0530 0.8477  1 Cu 2.50, 7 Ag 2.65-2.78
Zn2 0.9470 0.2606 0.1523  1 Cu 2.50, 7 Ag 2.65-2.78
Zn3 0.2606 0.6400 0.1523  1 Cu 2.50, 7 Ag 2.65-2.78
Zn4 0.7394 0.3600 0.8477  1 Cu 2.50, 7 Ag 2.65-2.78
Zn5 0.0530 0.7394 0.8477  1 Cu 2.50, 7 Ag 2.65-2.78
Zn6 0.6400 0.9470 0.1523  1 Cu 2.50, 7 Ag 2.65-2.78
Cu1 0.0000 0.0000 0.0000  6 Zn 2.50
Ag1 0.5244 0.2362 0.3517  5 Zn 2.65-2.78, 2 Ag 2.95
Ag2 0.7638 0.1122 0.6483  5 Zn 2.65-2.78, 2 Ag 2.95
Ag3 0.1122 0.4756 0.6483  5 Zn 2.65-2.78, 2 Ag 2.95
Ag4 0.6701 0.6701 0.9898  6 Zn 2.75-2.76, 3 Ag 3.04
Ag5 0.3299 0.3299 0.0102  6 Zn 2.75-2.76, 3 Ag 3.04
Ag6 0.8878 0.5244 0.3517  5 Zn 2.65-2.78, 2 Ag 2.95
Ag7 0.2362 0.8878 0.3517  5 Zn 2.65-2.78, 2 Ag 2.95
Ag8 0.4756 0.7638 0.6483  5 Zn 2.65-2.78, 2 Ag 2.95

Calculated values
final energy: -2.22 eV per atom

Material: Zn4CuAg3
Method: DFT, GGA-PBE
State: optimized geometry

Unit cell a=2.8890 b=2.8890 c=14.8806 alpha=90.00 beta=90.00 gamma=90.00
Last column: nearest neighbours and their distance in Å.
Element x y z (fractional)
Zn1 0.0000 0.0000 0.8937  4 Cu 2.58, 4 Ag 2.83, 4 Zn 2.89
Zn2 0.0000 0.0000 0.1063  4 Cu 2.58, 4 Ag 2.83, 4 Zn 2.89
Zn3 0.0000 0.0000 0.3688  8 Ag 2.82-2.83, 4 Zn 2.89
Zn4 0.0000 0.0000 0.6312  8 Ag 2.82-2.83, 4 Zn 2.89
Ag1 0.5000 0.5000 0.2377  8 Zn 2.82-2.83, 4 Ag 2.89
Ag2 0.5000 0.5000 0.5000  8 Zn 2.83, 4 Ag 2.89
Ag3 0.5000 0.5000 0.7623  8 Zn 2.82-2.83, 4 Ag 2.89
Cu1 0.5000 0.5000 0.0000  8 Zn 2.58, 4 Cu 2.89

Calculated values
final energy: -2.26 eV per atom

Material: ZnCuAg2
Method: DFT, GGA-PBE
State: optimized geometry

Unit cell a=5.0312 b=5.0312 c=4.6313 alpha=72.73 beta=72.73 gamma=34.19
Last column: nearest neighbours and their distance in Å.
Element x y z (fractional)
Zn1 0.7669 0.7669 0.7652  2 Cu 2.57, 7 Ag 2.75-2.79
Cu1 0.4846 0.4846 0.4820  2 Zn 2.57, 7 Ag 2.74-2.80
Ag1 0.0124 0.0124 0.9650  4 Cu 2.76, 3 Zn 2.76-2.79, 5 Ag 2.96-3.00
Ag2 0.2361 0.2361 0.2878  3 Cu 2.74-2.80, 4 Zn 2.75-2.77, 5 Ag 2.96-3.00

Calculated values
final energy: -2.75 eV per atom

Material: ZnCu4Ag
Method: DFT, GGA-PBE
State: optimized geometry

Unit cell a=4.8944 b=4.8944 c=4.8944 alpha=60.00 beta=60.00 gamma=60.00
Last column: nearest neighbours and their distance in Å.
Element x y z (fractional)
Zn1 0.7500 0.7500 0.7500  12 Cu 2.87, 4 Ag 3.00
Cu1 0.8743 0.3752 0.3752  6 Cu 2.44-2.45
Cu2 0.3752 0.3752 0.8743  6 Cu 2.44-2.45
Cu3 0.3752 0.8743 0.3752  6 Cu 2.44-2.45
Cu4 0.3752 0.3752 0.3752  6 Cu 2.44-2.45
Ag1 0.0000 0.0000 0.0000  12 Cu 2.87, 4 Zn 3.00

Calculated values
final energy: -3.35 eV per atom

no.,ΔH_f (0 K) (kcal/mol of atoms)
1,1.929
2,-1.037
3,0.525
4,1.552